LuAs2Ir: relaxed, GGA-PBE.

Results
The value obtained for the total magnetic moment is 0.00 μB per formula unit. The calculation puts the total energy at -6.39 eV/atom.

Cell: 3.9856 3.9856 16.5694 Å, 90.00 90.00 120.00°
Space group R-3m (No. 166, hexagonal axes)
Symmetry-distinct sites (fractional):
1 Lu 0.0000 0.0000 0.0000 x3
2 As 0.0000 0.0000 0.2341 x6
3 Ir 0.0000 0.0000 0.5000 x3

AcPr2Ho: relaxed, GGA-PBE.

Results
The value obtained for the total magnetic moment is 0.00 μB per formula unit. The calculation puts the total energy at -4.53 eV/atom.

Cell: 5.261 5.261 5.297 Å, 90.00 90.00 90.00°
Space group P4/mmm (No. 123)
Symmetry-distinct sites (fractional):
1 Ac 0.000 0.000 0.000 x1
2 Pr 0.000 0.500 0.500 x2
3 Ho 0.500 0.500 0.000 x1

Ac2YNpS6: relaxed, GGA-PBE.

Results
The value obtained for the total magnetic moment is 4.00 μB per formula unit. The calculation puts the total energy at -7.13 eV/atom. The value obtained for the formation energy (no corrections) is -1891 meV per atom.

Cell: 7.3047 7.3047 18.7479 Å, 90.00 90.00 120.00°
Space group R3 (No. 146, hexagonal axes)
Symmetry-distinct sites (fractional):
1 Ac 0.0000 0.0000 0.0000 x3
2 Ac 0.0000 0.0000 0.4982 x3
3 Y 0.0000 0.0000 0.7114 x3
4 Np 0.0000 0.0000 0.2118 x3
5 S 0.0630 0.3532 0.7816 x9
6 S 0.0645 0.7058 0.2821 x9

Nd7Y12Tm: relaxed, GGA-PBE.

Results
The value obtained for the total magnetic moment is 0.00 μB per formula unit. The calculation puts the total energy at -5.14 eV/atom.

Cell: 11.348 11.348 11.348 Å, 90.00 90.00 90.00°
Space group Im-3m (No. 229)
Symmetry-distinct sites (fractional):
1 Nd 0.000 0.000 0.500 x6
2 Nd 0.250 0.250 0.250 x8
3 Y 0.000 0.246 0.246 x24
4 Tm 0.000 0.000 0.000 x2

Dy2Tl3ZnS6: relaxed, GGA-PBE.

Results
The value obtained for the total magnetic moment is 0.00 μB per formula unit. The calculation puts the total energy at -4.57 eV/atom. The value obtained for the formation energy (no corrections) is -1042 meV per atom.

Cell: 6.909 11.861 7.606 Å, 90.00 108.13 90.00°
Space group C2/m (No. 12)
Symmetry-distinct sites (fractional):
1 Dy 0.000 0.166 0.000 x4
2 Tl 0.000 0.000 0.500 x2
3 Tl 0.000 0.329 0.500 x4
4 Zn 0.000 0.500 0.000 x2
5 S 0.225 0.342 0.195 x8
6 S 0.240 0.000 0.210 x4

RbTiSb: relaxed, GGA-PBE.

Results
The value obtained for the total magnetic moment is 1.09 μB per formula unit. The calculation puts the total energy at -4.54 eV/atom. The value obtained for the formation energy (no corrections) is -216 meV per atom.

Cell: 4.4751 4.4751 40.5443 Å, 90.00 90.00 120.00°
Space group R-3m (No. 166, hexagonal axes)
Symmetry-distinct sites (fractional):
1 Rb 0.0000 0.0000 0.1109 x6
2 Ti 0.0000 0.0000 0.3123 x6
3 Sb 0.0000 0.0000 0.3813 x6